Compound: Cu2Ag5F12
Source: Alexandria via LeMat-Bulk
Functional: GGA-PBE
Structure: relaxed

The value obtained for the density is 5.42 g/cm3. The formation energy (no corrections) comes out at -23.5 eV per formula unit. The density of states at the Fermi level comes out at 0.57 states/eV/atom.

The structure belongs to space group C2/m (No. 12); the cell edges are 12.511, 6.175 and 7.403 Å and the angles 90.00°, 106.60° and 90.00°. The asymmetric unit holds Cu at (0.000, 0.247, 0.000), Ag at (0.000, 0.000, 0.500), Ag at (0.194, 0.500, 0.378), Ag at (0.199, 0.500, 0.818), F at (0.011, 0.000, 0.831), F at (0.011, 0.500, 0.828), F at (0.132, 0.234, 0.553) and F at (0.160, 0.260, 0.103).